A plane-wave DFT calculation with GGA-PBE was carried out for a relaxed structure of BeInNi.

abc: 5.8017 5.8017 5.8017
angles: 90.00 90.00 90.00
Space group F-43m (No. 216)
Asymmetric unit:
Be  0.0000  0.0000  0.0000 [4 per cell]
In  0.2500  0.2500  0.2500 [4 per cell]
Ni  0.0000  0.0000  0.5000 [4 per cell]

Computed properties:
The value obtained for the total energy is -42.06 eV per cell. As for the crystal system: cubic. As for the size of the total moment: 0.1 μB/cell. The calculation puts the volume at 195.29 Å³/cell.